No. 1
A relaxed Th4GeTe3 crystal. Source: the Alexandria database, functional PBE-GGA.

Structure (extended XYZ):
```
16
Lattice="7.6935 0.0000 0.0000 0.0000 8.9456 0.0000 -2.5870 0.0000 7.1847" Properties=species:S:1:pos:R:3 pbc="T T T"
Th 1.7403 1.0205 0.0030
Th 0.4468 7.9250 3.5954
Th 0.5459 3.2310 3.4843
Th -0.7476 5.7146 7.0766
Th 5.8541 3.2310 0.1081
Th 4.5606 5.7146 3.7004
Th 4.6597 1.0205 3.5893
Th 3.3662 7.9250 7.1817
Ge -0.6467 1.0945 1.7962
Ge -1.9402 7.8511 5.3885
Te -1.9402 3.3517 5.3885
Te -0.6467 5.5939 1.7962
Te 1.9065 1.1213 5.3885
Te 3.2000 3.3774 1.7962
Te 1.9065 5.5681 5.3885
Te 3.2000 7.8242 1.7962
```

For the magnetic moment, the calculation gives 0.000 μB/atom. The symmetry is No. 13. The uncorrected formation energy comes out at -1.0100 eV/atom. The calculation puts the energy at -51.80 eV/f.u.

---

No. 2
A relaxed Th2Ge2Te crystal. Source: the Alexandria database, functional PBE-GGA.

Structure (extended XYZ):
```
10
Lattice="4.4155 0.0000 0.0000 -2.2077 3.8239 0.0000 0.0000 0.0000 16.0385" Properties=species:S:1:pos:R:3 pbc="T T T"
Th 0.0000 0.0000 1.8535
Th 0.0000 0.0000 6.1657
Th 0.0000 0.0000 9.8727
Th 0.0000 0.0000 14.1850
Ge 0.0000 2.5493 0.0162
Ge 0.0000 2.5493 8.0031
Ge 2.2077 1.2746 8.0354
Ge 2.2077 1.2746 16.0223
Te 0.0000 2.5493 12.0288
Te 2.2077 1.2746 4.0096
```

For the magnetic moment, the calculation gives 0.000 μB/atom. The symmetry is No. 194. The uncorrected formation energy comes out at -0.7976 eV/atom. The calculation puts the energy at -31.20 eV/f.u.

---

No. 3
A relaxed Th2GeTe crystal. Source: the Alexandria database, functional PBE-GGA.

Structure (extended XYZ):
```
4
Lattice="3.7415 0.0000 0.0000 0.0000 3.7415 0.0000 0.0000 0.0000 7.6655" Properties=species:S:1:pos:R:3 pbc="T T T"
Th 0.0000 0.0000 1.7739
Th 0.0000 0.0000 5.8916
Ge 1.8708 1.8708 0.0000
Te 1.8708 1.8708 3.8327
```

For the magnetic moment, the calculation gives 0.000 μB/atom. For the relative energy among the computed polymorphs, the calculation gives 195 meV/atom. The symmetry is No. 123. The uncorrected formation energy comes out at -0.8146 eV/atom. The calculation puts the energy at -25.86 eV/f.u.